Here is an optimized crystal structure of Be2Ag from the Alexandria database. Energies are from PBE.

Output
Energy above the lowest structure with this stoichiometry = 40.4 kJ/mol of atoms
Energy of formation from the pure elements = 444.0 meV/atom
Total energy = -2.991 eV/atom
Symmetry = I4_1/amd
Calculated density = 5.65 g/cm³
Total magnetization = 0.00 μB/f.u.

Cell: 8.112 8.112 8.112 Å, 158.14 158.14 31.10°
Atoms (fractional coordinates):
1 Ag 0.750 0.250 0.500
2 Ag 0.000 0.000 0.000
3 Be 0.425 0.425 0.000
4 Be 0.575 0.575 0.000
5 Be 0.325 0.825 0.500
6 Be 0.175 0.675 0.500

***

Here is an optimized crystal structure of BeAg2 from the Alexandria database. Energies are from PBE.

Output
Energy of formation from the pure elements = 201.4 meV/atom
Total energy = -2.942 eV/atom
Symmetry = P6_3/mmc
Calculated density = 8.42 g/cm³
Total magnetization = 0.00 μB/f.u.

Cell: 4.293 4.293 5.551 Å, 90.00 90.00 120.00°
Atoms (fractional coordinates):
1 Ag 0.333 0.667 0.250
2 Ag 0.000 0.000 0.000
3 Ag 0.667 0.333 0.750
4 Ag 0.000 0.000 0.500
5 Be 0.667 0.333 0.250
6 Be 0.333 0.667 0.750